Compound: PuGa3CuIr
Source: the Alexandria database
Functional: PBE
Structure: relaxed

Total energy   -6.19 eV/atom
Symmetry   Cmcm (63)
Energy of formation from the pure elements   -0.127 eV/atom

abc: 5.586 7.902 6.702
angles: 126.12 90.00 90.00
Positions (direct):
Ga1 0.000 0.746 0.000
Ga2 0.500 0.746 0.000
Ga3 0.000 0.254 0.000
Ga4 0.750 0.814 0.629
Ga5 0.250 0.186 0.371
Ga6 0.500 0.254 0.000
Cu1 0.250 0.964 0.929
Cu2 0.750 0.036 0.071
Ir1 0.750 0.586 0.173
Ir2 0.250 0.414 0.827
Pu1 0.750 0.303 0.607
Pu2 0.250 0.697 0.393

***

Compound: PuGa4Cu2Ir
Source: the Alexandria database
Functional: PBE
Structure: relaxed

Total energy   -5.65 eV/atom
Symmetry   R-3m (166)
Energy of formation from the pure elements   -0.217 eV/atom

abc: 4.212 4.212 9.166
angles: 76.72 76.72 60.00
Positions (direct):
Ga1 0.600 0.600 0.201
Ga2 0.400 0.400 0.799
Ga3 0.130 0.130 0.611
Ga4 0.870 0.870 0.389
Ir1 0.500 0.500 0.500
Pu1 0.000 0.000 0.000
Cu1 0.762 0.762 0.714
Cu2 0.238 0.238 0.286

***

Compound: GaCuIrRh
Source: the Alexandria database
Functional: PBE
Structure: relaxed

Total energy   -6.09 eV/atom
Symmetry   F-43m (216)
Energy of formation from the pure elements   -0.259 eV/atom

abc: 4.259 4.259 4.259
angles: 60.00 60.00 60.00
Positions (direct):
Ir1 0.500 0.500 0.500
Ga1 0.750 0.750 0.750
Rh1 0.000 0.000 0.000
Cu1 0.250 0.250 0.250

***

Compound: GaCuIrSe2
Source: the Alexandria database
Functional: PBE
Structure: relaxed

Total energy   -4.02 eV/atom
Uncorrected formation energy   568.6 meV/atom
Symmetry   P4/mmm (123)

abc: 4.989 4.728 4.989
angles: 90.00 90.00 90.00
Positions (direct):
Ir1 0.000 0.000 0.000
Se1 0.000 0.000 0.500
Se2 0.500 0.000 0.000
Cu1 0.500 0.500 0.500
Ga1 0.000 0.500 0.000

***

Compound: Sm2Ga4Cu3Ir
Source: the Alexandria database
Functional: PBE
Structure: relaxed

Total energy   -4.77 eV/atom
Symmetry   P-4m2 (115)
Energy of formation from the pure elements   -0.499 eV/atom

abc: 4.154 4.154 10.370
angles: 90.00 90.00 90.00
Positions (direct):
Cu1 0.500 0.000 0.867
Cu2 0.000 0.500 0.133
Cu3 0.000 0.000 0.500
Ga1 0.000 0.500 0.366
Ga2 0.500 0.000 0.634
Ga3 0.500 0.500 0.000
Ga4 0.000 0.000 0.000
Sm1 0.000 0.500 0.750
Sm2 0.500 0.000 0.250
Ir1 0.500 0.500 0.500

***

Compound: SmGa4Cu2Ir
Source: the Alexandria database
Functional: PBE
Structure: relaxed

Total energy   -4.58 eV/atom
Symmetry   R-3m (166)
Energy of formation from the pure elements   -0.343 eV/atom

abc: 4.197 4.197 9.286
angles: 76.94 76.94 60.00
Positions (direct):
Sm1 0.000 0.000 0.000
Ir1 0.500 0.500 0.500
Ga1 0.129 0.129 0.612
Ga2 0.598 0.598 0.205
Ga3 0.871 0.871 0.388
Ga4 0.402 0.402 0.795
Cu1 0.239 0.239 0.282
Cu2 0.761 0.761 0.718

***

Compound: SrGaCuIr
Source: the Alexandria database
Functional: PBE
Structure: relaxed

Total energy   -4.77 eV/atom
Symmetry   R3m (160)
Energy of formation from the pure elements   -0.354 eV/atom

abc: 4.341 4.341 5.925
angles: 68.51 68.51 60.00
Positions (direct):
Sr1 0.811 0.811 0.566
Cu1 0.001 0.001 0.997
Ga1 0.296 0.296 0.113
Ir1 0.618 0.618 0.147

***

Compound: SrGa3CuIr
Source: the Alexandria database
Functional: PBE
Structure: relaxed

Total energy   -4.24 eV/atom
Symmetry   Cmcm (63)
Energy of formation from the pure elements   -0.284 eV/atom

abc: 6.885 6.229 6.719
angles: 117.62 90.00 90.00
Positions (direct):
Ga1 0.000 0.781 0.000
Ga2 0.500 0.781 0.000
Ga3 0.750 0.701 0.403
Ga4 0.250 0.299 0.597
Ga5 0.000 0.219 0.000
Ga6 0.500 0.219 0.000
Sr1 0.250 0.755 0.509
Sr2 0.750 0.245 0.491
Cu1 0.750 0.506 0.012
Cu2 0.250 0.494 0.988
Ir1 0.250 0.102 0.204
Ir2 0.750 0.898 0.796

***

Compound: SrGa2CuIr
Source: the Alexandria database
Functional: PBE
Structure: relaxed

Total energy   -4.44 eV/atom
Symmetry   P4/mmm (123)
Energy above the most stable polymorph in this dataset   0.000 eV per atom
Energy of formation from the pure elements   -0.304 eV/atom

abc: 4.752 4.752 5.016
angles: 90.00 90.00 90.00
Positions (direct):
Ir1 0.000 0.000 0.000
Ga1 0.500 0.000 0.000
Ga2 0.000 0.500 0.000
Cu1 0.000 0.000 0.500
Sr1 0.500 0.500 0.500

***

Compound: SrGa2CuIr
Source: the Alexandria database
Functional: PBE
Structure: relaxed

Total energy   -4.33 eV/atom
Symmetry   P3m1 (156)
Energy above the most stable polymorph in this dataset   0.113 eV per atom
Energy of formation from the pure elements   -0.191 eV/atom

abc: 4.280 4.280 7.087
angles: 90.00 90.00 120.00
Positions (direct):
Ga1 0.333 0.667 0.329
Ga2 0.667 0.333 0.658
Ir1 0.667 0.333 0.311
Cu1 0.333 0.667 0.696
Sr1 0.000 0.000 0.006

***

Compound: Sr2Ga4CuIr3
Source: the Alexandria database
Functional: PBE
Structure: relaxed

Total energy   -5.10 eV/atom
Symmetry   P-4m2 (115)
Energy of formation from the pure elements   -0.487 eV/atom

abc: 4.348 4.348 10.338
angles: 90.00 90.00 90.00
Positions (direct):
Ga1 0.500 0.000 0.624
Ga2 0.000 0.000 0.000
Ga3 0.000 0.500 0.376
Ga4 0.500 0.500 0.000
Sr1 0.500 0.000 0.253
Sr2 0.000 0.500 0.747
Ir1 0.000 0.000 0.500
Ir2 0.000 0.500 0.130
Ir3 0.500 0.000 0.870
Cu1 0.500 0.500 0.500

***

Compound: SrGa4CuIr2
Source: the Alexandria database
Functional: PBE
Structure: relaxed

Total energy   -4.84 eV/atom
Symmetry   R-3m (166)
Energy of formation from the pure elements   -0.384 eV/atom

abc: 4.287 4.287 9.563
angles: 77.05 77.05 60.00
Positions (direct):
Cu1 0.500 0.500 0.500
Ga1 0.407 0.407 0.780
Ga2 0.868 0.868 0.396
Ga3 0.593 0.593 0.220
Ga4 0.132 0.132 0.604
Sr1 0.000 0.000 0.000
Ir1 0.226 0.226 0.321
Ir2 0.774 0.774 0.679